Record 1
Material: Pm2In5I12
Method: DFT, PBE
State: relaxed

abc: 9.0605 10.7492 10.9963
angles: 109.96 90.00 114.93
With the nearest neighbours (Å) after each atom.
Sites, in units of the cell vectors:
1 Pm 0.7460 0.0000 0.0000  6 I 3.06-3.14
2 Pm 0.2540 0.0000 0.0000  6 I 3.06-3.14
3 In 0.2631 0.5263 0.6451  4 I 3.34-3.53
4 In 0.3226 0.6452 0.1741  7 I 3.43-3.65
5 In 0.0000 0.0000 0.5000  6 I 3.11-3.38
6 In 0.6774 0.3548 0.8259  7 I 3.43-3.65
7 In 0.7369 0.4737 0.3549  4 I 3.34-3.53
8 I 0.0149 0.0297 0.2033  2 Pm 3.14, 1 In 3.38
9 I 0.0916 0.6635 0.9176  1 Pm 3.06
10 I 0.5719 0.6635 0.9176  1 Pm 3.06
11 I 0.1151 0.7528 0.4173  3 In 3.11-3.43
12 I 0.6377 0.7528 0.4173  3 In 3.11-3.43
13 I 0.4864 0.9729 0.7905  2 Pm 3.14
14 I 0.5135 0.0271 0.2095  2 Pm 3.14
15 I 0.8849 0.2472 0.5827  3 In 3.11-3.43
16 I 0.3623 0.2472 0.5827  3 In 3.11-3.43
17 I 0.9084 0.3365 0.0824  1 Pm 3.06
18 I 0.4281 0.3365 0.0824  1 Pm 3.06
19 I 0.9851 0.9703 0.7967  2 Pm 3.14, 1 In 3.38

**SG**: C2/m (12)
**M_tot**: 0.00 μB/f.u.
**VASP energy**: -57.234 eV/cell

Record 2
Material: Y2Er6Ni
Method: DFT, PBE
State: relaxed

abc: 3.5628 9.0867 9.5652
angles: 118.31 90.00 90.00
With the nearest neighbours (Å) after each atom.
Sites, in units of the cell vectors:
1 Y 0.4999 0.6707 0.3413  10 Er 3.50-3.80, 2 Y 3.56
2 Y 0.5001 0.3293 0.6587  10 Er 3.50-3.80, 2 Y 3.56
3 Er 0.0000 0.3337 0.3295  4 Er 3.07-3.34, 1 Ni 3.17
4 Er 0.0000 0.0042 0.6707  4 Er 3.07-3.34, 1 Ni 3.17
5 Er 0.0000 0.6663 0.6705  4 Er 3.07-3.34, 1 Ni 3.17
6 Er 0.5000 0.2261 0.0001  2 Ni 2.72
7 Er 0.0000 0.9958 0.3293  4 Er 3.07-3.34, 1 Ni 3.17
8 Er 0.5000 0.7739 0.9999  2 Ni 2.72
9 Ni 0.0000 0.0000 0.0000  4 Er 2.72

**SG**: P2/m (10)
**M_tot**: 0.00 μB/f.u.
**VASP energy**: -45.080 eV/cell